(1)
Entry from the Alexandria database: an optimized crystal structure of TlCo8 (PBE).

Calculated formation energy ... 0.19 eV/atom
DOS at the Fermi energy ... 0.953 states/eV per atom

a = 7.7682 Å, b = 7.7682 Å, c = 3.6348 Å
α = 90.00°, β = 90.00°, γ = 90.00°
With the nearest neighbours (Å) after each atom.
Space group I4/mmm (No. 139)
Inequivalent atoms, fractional coordinates:
Tl (0.0000, 0.0000, 0.0000) x2  12 Co 2.70-2.71
Co (0.0000, 0.3479, 0.0000) x8  11 Co 2.36-2.64
Co (0.1827, 0.1827, 0.5000) x8  4 Co 2.34-2.48

(2)
Entry from the Alexandria database: an optimized crystal structure of Tl5Co (PBE).

Calculated formation energy ... 0.26 eV/atom
Distance to the lowest polymorph of the same formula ... 0.00 eV per formula unit
DOS at the Fermi energy ... 0.961 states/eV per atom

a = 3.3072 Å, b = 3.3072 Å, c = 14.2715 Å
α = 90.00°, β = 90.00°, γ = 90.00°
With the nearest neighbours (Å) after each atom.
Space group P4/mmm (No. 123)
Inequivalent atoms, fractional coordinates:
Tl (0.0000, 0.0000, 0.0000) x1  12 Tl 3.31-3.64
Tl (0.0000, 0.0000, 0.3859) x2  4 Co 2.85
Tl (0.5000, 0.5000, 0.1954) x2  12 Tl 3.31-3.64
Co (0.5000, 0.5000, 0.5000) x1  8 Tl 2.85

(3)
Entry from the Alexandria database: an optimized crystal structure of Tl5Co (PBE).

Calculated formation energy ... 0.27 eV/atom
Distance to the lowest polymorph of the same formula ... 0.07 eV per formula unit
DOS at the Fermi energy ... 0.576 states/eV per atom

a = 3.3046 Å, b = 22.9960 Å, c = 4.4034 Å
α = 90.00°, β = 90.00°, γ = 90.00°
With the nearest neighbours (Å) after each atom.
Space group Cmmm (No. 65)
Inequivalent atoms, fractional coordinates:
Tl (0.0000, 0.0000, 0.0000) x2  4 Co 2.75
Tl (0.0000, 0.1036, 0.5000) x4  2 Co 2.90, 2 Tl 3.24
Tl (0.0000, 0.3138, 0.0000) x4  8 Tl 3.30-3.37
Co (0.0000, 0.5000, 0.5000) x2  8 Tl 2.75-2.90

(4)
Entry from the Alexandria database: an optimized crystal structure of TlCo (PBE).

Calculated formation energy ... 0.44 eV/atom
DOS at the Fermi energy ... 1.256 states/eV per atom

a = 3.0727 Å, b = 11.5911 Å, c = 6.4326 Å
α = 90.00°, β = 90.00°, γ = 90.00°
With the nearest neighbours (Å) after each atom.
Space group Amm2 (No. 38)
Inequivalent atoms, fractional coordinates:
Tl (0.0000, 0.0000, 0.0000) x2  4 Co 2.81-2.85, 2 Tl 3.07
Tl (0.5000, 0.2344, 0.6851) x4  5 Co 2.74-2.86, 2 Tl 3.07
Co (0.0000, 0.1001, 0.3986) x4  3 Co 2.32-2.42
Co (0.5000, 0.0000, 0.6260) x2  4 Co 2.42